# SbH2Br

A relaxed SbH2Br crystal (PBE-GGA, the Alexandria database).

The value obtained for the relative energy among the computed polymorphs is 681.8 meV per atom.

The space group is Fm-3m (No. 225) and the conventional cell measures 6.124, 6.124 and 6.124 Å, with angles of 90.00, 90.00 and 90.00 degrees. The inequivalent atoms are Sb at (0.000, 0.000, 0.000), H at (0.250, 0.250, 0.250) and Br at (0.000, 0.000, 0.500).